Nd4Sm2Y2Ho | PBE | optimized geometry

As for the density of states at the Fermi level: 14.2 states/eV per cell. For the formation energy, the calculation gives 0.018 eV/atom. The calculation puts the total energy at -45.8 eV for the cell shown.

Geometry as POSCAR:
```
Nd4Sm2Y2Ho
1.0
-2.938 -1.805 3.811
1.389 -6.042 -5.256
6.321 0.355 5.041
Nd Sm Y Ho
4 2 2 1
Direct
0.445 0.890 0.668
0.555 0.110 0.332
0.778 0.556 0.668
0.222 0.444 0.332
0.889 0.778 0.332
0.111 0.222 0.668
0.334 0.667 0.000
0.666 0.333 0.000
0.000 0.000 0.000
```